# 1
# TlTcRu2

A geometry-optimized TlTcRu2 structure (PBE, Alexandria via LeMat-Bulk).

## Properties
E above lowest polymorph, meV/atom: 248

Cell lengths 6.384, 6.384, 6.384 Å; angles 90.00, 90.00, 90.00 degrees
Space group Fm-3m (No. 225)
Symmetry-distinct sites (fractional):
1 Tl 0.000 0.000 0.000
2 Tc 0.000 0.000 0.500
3 Ru 0.250 0.250 0.250

---

# 2
# TlTcRu2

A geometry-optimized TlTcRu2 structure (PBE, Alexandria via LeMat-Bulk).

## Properties
E above lowest polymorph, meV/atom: 219

Cell lengths 4.046, 4.046, 7.813 Å; angles 90.00, 90.00, 90.00 degrees
Space group I4/mmm (No. 139)
Symmetry-distinct sites (fractional):
1 Tl 0.000 0.000 0.000
2 Tc 0.000 0.000 0.500
3 Ru 0.000 0.500 0.250

---

# 3
# TlTcRu2

A geometry-optimized TlTcRu2 structure (PBE, Alexandria via LeMat-Bulk).

## Properties
E above lowest polymorph, meV/atom: 0

Cell lengths 2.890, 2.890, 7.726 Å; angles 90.00, 90.00, 90.00 degrees
Space group P4/mmm (No. 123)
Symmetry-distinct sites (fractional):
1 Tl 0.000 0.000 0.000
2 Tc 0.000 0.000 0.500
3 Ru 0.500 0.500 0.279

---

# 4
# TlTcRu2

A geometry-optimized TlTcRu2 structure (PBE, Alexandria via LeMat-Bulk).

## Properties
E above lowest polymorph, meV/atom: 361

Cell lengths 6.381, 6.381, 6.381 Å; angles 90.00, 90.00, 90.00 degrees
Space group F-43m (No. 216)
Symmetry-distinct sites (fractional):
1 Tl 0.000 0.000 0.000
2 Tc 0.250 0.250 0.750
3 Ru 0.000 0.000 0.500
4 Ru 0.250 0.250 0.250

---

# 5
# TlTcRu2

A geometry-optimized TlTcRu2 structure (PBE, Alexandria via LeMat-Bulk).

## Properties
E above lowest polymorph, meV/atom: 298

Cell lengths 2.902, 4.633, 9.779 Å; angles 90.00, 90.00, 90.00 degrees
Space group Imm2 (No. 44)
Symmetry-distinct sites (fractional):
1 Tl 0.000 0.000 0.000
2 Tc 0.000 0.500 0.226
3 Ru 0.000 0.000 0.508
4 Ru 0.000 0.500 0.775

---

# 6
# TlTcRu2

A geometry-optimized TlTcRu2 structure (PBE, Alexandria via LeMat-Bulk).

## Properties
E above lowest polymorph, meV/atom: 329

Cell lengths 4.566, 4.566, 3.108 Å; angles 90.00, 90.00, 90.00 degrees
Space group P4/mmm (No. 123)
Symmetry-distinct sites (fractional):
1 Tl 0.000 0.000 0.000
2 Tc 0.500 0.500 0.000
3 Ru 0.000 0.500 0.500

---

# 7
# TlTcRu2

A geometry-optimized TlTcRu2 structure (PBE, Alexandria via LeMat-Bulk).

## Properties
E above lowest polymorph, meV/atom: 102

Cell lengths 2.858, 3.767, 6.013 Å; angles 90.00, 90.09, 90.00 degrees
Space group P2/m (No. 10)
Symmetry-distinct sites (fractional):
1 Tl 0.000 0.000 0.000
2 Tc 0.000 0.000 0.500
3 Ru 0.499 0.500 0.719

---

# 8
# TlTcRu2

A geometry-optimized TlTcRu2 structure (PBE, Alexandria via LeMat-Bulk).

## Properties
E above lowest polymorph, meV/atom: 227

Cell lengths 3.877, 3.877, 8.470 Å; angles 90.00, 90.00, 90.00 degrees
Space group I-4m2 (No. 119)
Symmetry-distinct sites (fractional):
1 Tl 0.000 0.000 0.000
2 Tc 0.000 0.500 0.250
3 Ru 0.000 0.000 0.500
4 Ru 0.000 0.500 0.750

---

# 9
# YTlTcRu2

A geometry-optimized YTlTcRu2 structure (PBE, Alexandria via LeMat-Bulk).

Cell lengths 4.710, 4.710, 5.123 Å; angles 90.00, 90.00, 90.00 degrees
Space group P4/mmm (No. 123)
Symmetry-distinct sites (fractional):
1 Y 0.000 0.000 0.000
2 Tl 0.500 0.500 0.000
3 Tc 0.500 0.500 0.500
4 Ru 0.000 0.500 0.500

---

# 10
# Tm4TcRu

A geometry-optimized Tm4TcRu structure (PBE, Alexandria via LeMat-Bulk).

## Properties
E above lowest polymorph, meV/atom: 0

Cell lengths 3.401, 3.401, 12.336 Å; angles 90.00, 90.00, 90.00 degrees
Space group P4/mmm (No. 123)
Symmetry-distinct sites (fractional):
1 Tm 0.000 0.000 0.130
2 Tm 0.500 0.500 0.369
3 Tc 0.500 0.500 0.000
4 Ru 0.000 0.000 0.500

---

# 11
# Tm4TcRu

A geometry-optimized Tm4TcRu structure (PBE, Alexandria via LeMat-Bulk).

## Properties
E above lowest polymorph, meV/atom: 279

Cell lengths 8.797, 8.797, 8.432 Å; angles 90.00, 90.00, 90.00 degrees
Space group I4_1md (No. 109)
Symmetry-distinct sites (fractional):
1 Tm 0.000 0.303 0.000
2 Tm 0.000 0.304 0.501
3 Tc 0.000 0.000 0.001
4 Ru 0.000 0.000 0.500

---

# 12
# Tm8TcRu2

A geometry-optimized Tm8TcRu2 structure (PBE, Alexandria via LeMat-Bulk).

## Properties
E above lowest polymorph, meV/atom: 51

Cell lengths 8.270, 12.424, 5.649 Å; angles 90.00, 108.31, 90.00 degrees
Space group Cm (No. 8)
Symmetry-distinct sites (fractional):
1 Tm 0.000 0.000 0.000
2 Tm 0.059 0.372 0.771
3 Tm 0.160 0.128 0.586
4 Tm 0.219 0.500 0.373
5 Tm 0.354 0.218 0.184
6 Tc 0.359 0.000 0.285
7 Ru 0.365 0.313 0.693

---

Q: Which energy of formation values were calculated for the entries above? A: 583.5, 554.7, 335.6, 696.4, 633.4, 664.5, 437.7, 562.6, 777.7, -259.2, 20.0, -196.6, in meV per atom.
Q: Which E_tot values were calculated for the entries above? A: -115.8, -58.1, -29.9, -114.0, -57.5, -28.6, -29.5, -58.1, -33.9, -39.1, -149.6, -133.7, in eV for the cell shown.